Record 1
! Cd3Hg4 meta-GGA SCAN single point on PBEsol structure; values from VASP
&SYSTEM
  ibrav = 0, nat = 7, ntyp = 2
/
ATOMIC_SPECIES
Hg 200.59 Hg.upf
Cd 112.41 Cd.upf
CELL_PARAMETERS angstrom
3.925 0.000 0.000
0.000 3.925 0.000
-1.963 -1.963 10.022
ATOMIC_POSITIONS crystal
Hg 0.428 0.428 0.857
Hg 0.856 0.856 0.712
Hg 0.572 0.572 0.143
Cd 0.000 0.000 0.000
Cd 0.286 0.286 0.572
Cd 0.714 0.714 0.428
Hg 0.144 0.144 0.288
! raw total energy: -51.9905 eV per atom
! energy of formation from the pure elements: -0.0038 eV per atom
! distance to the lowest polymorph of the same formula: 0 meV/atom

***

Record 2
! CdHg7 meta-GGA SCAN single point on PBEsol structure; values from VASP
&SYSTEM
  ibrav = 0, nat = 8, ntyp = 2
/
ATOMIC_SPECIES
Hg 200.59 Hg.upf
Cd 112.41 Cd.upf
CELL_PARAMETERS angstrom
-0.776 5.265 3.475
0.514 -0.265 6.330
4.993 2.660 2.897
ATOMIC_POSITIONS crystal
Hg 0.000 0.000 0.500
Hg 0.500 0.500 0.000
Hg 0.500 0.000 0.500
Hg 0.500 0.000 0.000
Hg 0.000 0.500 0.000
Cd 0.000 0.000 0.000
Hg 0.000 0.500 0.500
Hg 0.500 0.500 0.500
! raw total energy: -63.3965 eV per atom
! energy of formation from the pure elements: 0.0504 eV per atom

***

Record 3
! Cd5Hg meta-GGA SCAN single point on PBEsol structure; values from VASP
&SYSTEM
  ibrav = 0, nat = 6, ntyp = 2
/
ATOMIC_SPECIES
Cd 112.41 Cd.upf
Hg 200.59 Hg.upf
CELL_PARAMETERS angstrom
-4.202 0.072 2.525
1.755 -4.518 3.050
1.176 5.305 1.806
ATOMIC_POSITIONS crystal
Cd 0.000 0.667 0.333
Cd 0.000 0.333 0.667
Cd 0.500 0.500 0.000
Cd 0.500 0.000 0.500
Cd 0.500 0.500 0.500
Hg 0.000 0.000 0.000
! raw total energy: -36.5989 eV per atom
! energy of formation from the pure elements: 0.1074 eV per atom

***

Record 4
! Cd3Hg meta-GGA SCAN single point on PBEsol structure; values from VASP
&SYSTEM
  ibrav = 0, nat = 4, ntyp = 2
/
ATOMIC_SPECIES
Cd 112.41 Cd.upf
Hg 200.59 Hg.upf
CELL_PARAMETERS angstrom
-1.977 3.762 -2.559
-4.057 2.296 1.700
0.320 4.631 1.751
ATOMIC_POSITIONS crystal
Cd 0.000 0.000 0.000
Cd 0.750 0.750 0.750
Cd 0.250 0.250 0.250
Hg 0.500 0.500 0.500
! raw total energy: -39.7894 eV per atom
! energy of formation from the pure elements: 0.0629 eV per atom

***

Record 5
! Cd5Hg meta-GGA SCAN single point on PBEsol structure; values from VASP
&SYSTEM
  ibrav = 0, nat = 6, ntyp = 2
/
ATOMIC_SPECIES
Cd 112.41 Cd.upf
Hg 200.59 Hg.upf
CELL_PARAMETERS angstrom
-3.421 -2.548 2.819
4.919 0.064 1.391
-0.922 4.610 3.049
ATOMIC_POSITIONS crystal
Cd 0.667 0.333 0.500
Cd 0.334 0.334 0.000
Cd 0.333 0.667 0.500
Cd 0.666 0.000 0.000
Hg 0.000 0.000 0.500
Cd 0.000 0.666 0.000
! raw total energy: -36.7100 eV per atom
! energy of formation from the pure elements: -0.0037 eV per atom

***

Record 6
! Cd3Hg meta-GGA SCAN single point on PBEsol structure; values from VASP
&SYSTEM
  ibrav = 0, nat = 4, ntyp = 2
/
ATOMIC_SPECIES
Cd 112.41 Cd.upf
Hg 200.59 Hg.upf
CELL_PARAMETERS angstrom
-3.535 0.356 0.559
-0.388 -4.093 0.149
4.450 -0.235 5.156
ATOMIC_POSITIONS crystal
Cd 0.750 0.000 0.750
Cd 0.500 0.500 0.000
Cd 0.250 0.000 0.250
Hg 0.000 0.500 0.500
! raw total energy: -39.8566 eV per atom
! energy of formation from the pure elements: -0.0043 eV per atom

***

Record 7
! Cd2Hg meta-GGA SCAN single point on PBEsol structure; values from VASP
&SYSTEM
  ibrav = 0, nat = 6, ntyp = 2
/
ATOMIC_SPECIES
Cd 112.41 Cd.upf
Hg 200.59 Hg.upf
CELL_PARAMETERS angstrom
-2.600 -1.625 0.644
4.513 -3.441 1.918
-1.871 5.085 5.280
ATOMIC_POSITIONS crystal
Cd 0.136 0.271 0.522
Cd 0.864 0.729 0.478
Cd 0.539 0.078 0.810
Hg 0.812 0.624 0.850
Cd 0.461 0.922 0.190
Hg 0.188 0.376 0.150
! raw total energy: -42.9871 eV per atom
! energy of formation from the pure elements: 0.0111 eV per atom

***

Record 8
! CdHg5 meta-GGA SCAN single point on PBEsol structure; values from VASP
&SYSTEM
  ibrav = 0, nat = 6, ntyp = 2
/
ATOMIC_SPECIES
Hg 200.59 Hg.upf
Cd 112.41 Cd.upf
CELL_PARAMETERS angstrom
5.955 0.000 0.000
2.977 5.157 0.000
2.977 1.719 4.862
ATOMIC_POSITIONS crystal
Hg 0.375 0.875 0.375
Hg 0.375 0.375 0.875
Hg 0.750 0.750 0.750
Hg 0.375 0.375 0.375
Cd 0.000 0.000 0.000
Hg 0.875 0.375 0.375
! raw total energy: -61.7545 eV per atom
! energy of formation from the pure elements: 0.1195 eV per atom

***

Record 9
! Cd3Hg meta-GGA SCAN single point on PBEsol structure; values from VASP
&SYSTEM
  ibrav = 0, nat = 4, ntyp = 2
/
ATOMIC_SPECIES
Cd 112.41 Cd.upf
Hg 200.59 Hg.upf
CELL_PARAMETERS angstrom
-2.512 1.591 0.911
-2.115 -4.270 1.627
3.763 0.459 4.266
ATOMIC_POSITIONS crystal
Cd 0.246 0.248 0.492
Hg 0.000 0.500 0.000
Cd 0.754 0.752 0.508
Cd 0.500 0.000 0.000
! raw total energy: -39.8431 eV per atom
! energy of formation from the pure elements: 0.0091 eV per atom

***

Record 10
! CdHg3 meta-GGA SCAN single point on PBEsol structure; values from VASP
&SYSTEM
  ibrav = 0, nat = 4, ntyp = 2
/
ATOMIC_SPECIES
Hg 200.59 Hg.upf
Cd 112.41 Cd.upf
CELL_PARAMETERS angstrom
-3.903 -1.108 -1.835
-1.028 -2.376 3.623
-1.881 3.599 1.827
ATOMIC_POSITIONS crystal
Hg 0.500 0.000 0.500
Hg 0.000 0.500 0.500
Hg 0.500 0.500 0.000
Cd 0.000 0.000 0.000
! raw total energy: -58.6882 eV per atom
! energy of formation from the pure elements: 0.0398 eV per atom
! distance to the lowest polymorph of the same formula: 28 meV/atom

***

Record 11
! CdHg5 meta-GGA SCAN single point on PBEsol structure; values from VASP
&SYSTEM
  ibrav = 0, nat = 6, ntyp = 2
/
ATOMIC_SPECIES
Hg 200.59 Hg.upf
Cd 112.41 Cd.upf
CELL_PARAMETERS angstrom
-3.877 -1.104 -3.729
-1.271 -4.898 2.772
-2.727 4.891 1.387
ATOMIC_POSITIONS crystal
Hg 0.000 0.667 0.333
Cd 0.000 0.000 0.000
Hg 0.000 0.333 0.667
Hg 0.500 0.000 0.500
Hg 0.500 0.500 0.500
Hg 0.500 0.500 0.000
! raw total energy: -61.7383 eV per atom
! energy of formation from the pure elements: 0.1357 eV per atom

***

Record 12
! Cd3Hg meta-GGA SCAN single point on PBEsol structure; values from VASP
&SYSTEM
  ibrav = 0, nat = 4, ntyp = 2
/
ATOMIC_SPECIES
Cd 112.41 Cd.upf
Hg 200.59 Hg.upf
CELL_PARAMETERS angstrom
2.908 0.000 0.000
0.000 5.428 0.000
-1.454 -2.714 5.463
ATOMIC_POSITIONS crystal
Cd 0.246 0.246 0.493
Cd 0.754 0.754 0.507
Cd 0.500 0.000 0.000
Hg 0.000 0.500 0.000
! raw total energy: -39.8437 eV per atom
! energy of formation from the pure elements: 0.0086 eV per atom

***

Record 13
! Cd3Hg meta-GGA SCAN single point on PBEsol structure; values from VASP
&SYSTEM
  ibrav = 0, nat = 8, ntyp = 2
/
ATOMIC_SPECIES
Cd 112.41 Cd.upf
Hg 200.59 Hg.upf
CELL_PARAMETERS angstrom
4.399 0.000 0.000
0.000 4.399 0.000
-2.199 -2.199 8.746
ATOMIC_POSITIONS crystal
Cd 0.000 0.500 0.000
Cd 0.125 0.125 0.249
Hg 0.375 0.375 0.749
Cd 0.250 0.750 0.500
Hg 0.625 0.625 0.251
Cd 0.750 0.250 0.500
Cd 0.500 0.000 0.000
Cd 0.875 0.875 0.751
! raw total energy: -39.8411 eV per atom
! energy of formation from the pure elements: 0.0112 eV per atom

***

Record 14
! CdHg5 meta-GGA SCAN single point on PBEsol structure; values from VASP
&SYSTEM
  ibrav = 0, nat = 6, ntyp = 2
/
ATOMIC_SPECIES
Hg 200.59 Hg.upf
Cd 112.41 Cd.upf
CELL_PARAMETERS angstrom
4.425 0.000 0.000
0.000 5.054 0.000
-2.212 0.000 6.199
ATOMIC_POSITIONS crystal
Hg 0.000 0.500 0.000
Hg 0.334 0.500 0.669
Hg 0.835 0.000 0.670
Hg 0.666 0.500 0.331
Cd 0.500 0.000 0.000
Hg 0.165 0.000 0.330
! raw total energy: -61.8454 eV per atom
! energy of formation from the pure elements: 0.0286 eV per atom

***

Record 15
! CdHg22 meta-GGA SCAN single point on PBEsol structure; values from VASP
&SYSTEM
  ibrav = 0, nat = 46, ntyp = 2
/
ATOMIC_SPECIES
Hg 200.59 Hg.upf
Cd 112.41 Cd.upf
CELL_PARAMETERS angstrom
-3.171 11.207 1.136
-8.305 4.462 -6.932
-10.493 2.691 4.427
ATOMIC_POSITIONS crystal
Hg 0.643 0.357 0.643
Hg 0.441 0.933 0.184
Hg 0.441 0.184 0.933
Hg 0.066 0.317 0.809
Hg 0.317 0.809 0.066
Hg 0.357 0.643 0.357
Hg 0.933 0.441 0.184
Hg 0.184 0.441 0.933
Cd 0.250 0.250 0.250
Hg 0.357 0.357 0.643
Hg 0.809 0.066 0.809
Hg 0.625 0.125 0.125
Hg 0.625 0.625 0.125
Hg 0.893 0.893 0.607
Hg 0.441 0.441 0.933
Hg 0.125 0.625 0.125
Hg 0.125 0.125 0.125
Cd 0.000 0.000 0.000
Hg 0.607 0.893 0.607
Hg 0.625 0.125 0.625
Hg 0.933 0.441 0.441
Hg 0.317 0.066 0.809
Hg 0.625 0.625 0.625
Hg 0.441 0.933 0.441
Hg 0.809 0.809 0.317
Hg 0.066 0.809 0.809
Hg 0.125 0.625 0.625
Hg 0.809 0.317 0.066
Hg 0.893 0.607 0.893
Hg 0.809 0.066 0.317
Hg 0.441 0.184 0.441
Hg 0.125 0.125 0.625
Hg 0.441 0.441 0.184
Hg 0.357 0.643 0.643
Hg 0.607 0.607 0.893
Hg 0.066 0.809 0.317
Hg 0.184 0.441 0.441
Hg 0.184 0.933 0.441
Hg 0.893 0.607 0.607
Hg 0.643 0.357 0.357
Hg 0.933 0.184 0.441
Hg 0.809 0.809 0.066
Hg 0.809 0.317 0.809
Hg 0.317 0.809 0.809
Hg 0.643 0.643 0.357
Hg 0.607 0.893 0.893
! raw total energy: -66.4790 eV per atom
! energy of formation from the pure elements: 0.0456 eV per atom

***

Record 16
! Cd2Hg meta-GGA SCAN single point on PBEsol structure; values from VASP
&SYSTEM
  ibrav = 0, nat = 6, ntyp = 2
/
ATOMIC_SPECIES
Cd 112.41 Cd.upf
Hg 200.59 Hg.upf
CELL_PARAMETERS angstrom
-2.555 1.826 0.417
-0.710 -3.708 4.442
5.306 5.179 1.903
ATOMIC_POSITIONS crystal
Cd 0.736 0.318 0.315
Cd 0.066 0.987 0.981
Cd 0.398 0.649 0.649
Hg 0.652 0.466 0.966
Cd 0.325 0.792 0.296
Hg 0.989 0.122 0.626
! raw total energy: -42.9834 eV per atom
! energy of formation from the pure elements: 0.0148 eV per atom

***

Record 17
! Cd3Hg meta-GGA SCAN single point on PBEsol structure; values from VASP
&SYSTEM
  ibrav = 0, nat = 4, ntyp = 2
/
ATOMIC_SPECIES
Cd 112.41 Cd.upf
Hg 200.59 Hg.upf
CELL_PARAMETERS angstrom
3.036 0.000 0.000
0.000 5.562 0.000
0.000 0.000 5.048
ATOMIC_POSITIONS crystal
Cd 0.500 0.500 0.827
Cd 0.000 0.000 0.007
Cd 0.500 0.000 0.507
Hg 0.000 0.500 0.326
! raw total energy: -39.8464 eV per atom
! energy of formation from the pure elements: 0.0058 eV per atom

***

Record 18
! Cd5Hg meta-GGA SCAN single point on PBEsol structure; values from VASP
&SYSTEM
  ibrav = 0, nat = 6, ntyp = 2
/
ATOMIC_SPECIES
Cd 112.41 Cd.upf
Hg 200.59 Hg.upf
CELL_PARAMETERS angstrom
-2.537 0.480 1.741
-1.002 -2.873 -0.667
6.284 -4.614 10.429
ATOMIC_POSITIONS crystal
Cd 0.000 0.000 0.670
Cd 0.000 0.000 0.000
Hg 0.500 0.500 0.500
Cd 0.500 0.500 0.165
Cd 0.500 0.500 0.835
Cd 0.000 0.000 0.330
! raw total energy: -36.6839 eV per atom
! energy of formation from the pure elements: 0.0224 eV per atom

***

Record 19
! CdHg3 meta-GGA SCAN single point on PBEsol structure; values from VASP
&SYSTEM
  ibrav = 0, nat = 8, ntyp = 2
/
ATOMIC_SPECIES
Hg 200.59 Hg.upf
Cd 112.41 Cd.upf
CELL_PARAMETERS angstrom
5.198 0.000 0.000
0.000 6.283 0.000
0.000 -3.142 5.441
ATOMIC_POSITIONS crystal
Hg 0.250 0.832 0.168
Hg 0.750 0.665 0.832
Hg 0.250 0.335 0.168
Cd 0.750 0.667 0.333
Cd 0.250 0.333 0.667
Hg 0.750 0.168 0.832
Hg 0.750 0.168 0.335
Hg 0.250 0.832 0.665
! raw total energy: -58.6882 eV per atom
! energy of formation from the pure elements: 0.0398 eV per atom
! distance to the lowest polymorph of the same formula: 28 meV/atom

***

Record 20
! CdHg3 meta-GGA SCAN single point on PBEsol structure; values from VASP
&SYSTEM
  ibrav = 0, nat = 8, ntyp = 2
/
ATOMIC_SPECIES
Cd 112.41 Cd.upf
Hg 200.59 Hg.upf
CELL_PARAMETERS angstrom
-1.913 -3.810 3.720
4.979 -2.683 -0.187
1.890 3.210 4.260
ATOMIC_POSITIONS crystal
Cd 0.000 0.000 0.000
Cd 0.500 0.500 0.500
Hg 0.500 0.000 0.750
Hg 0.250 0.500 0.000
Hg 0.000 0.250 0.500
Hg 0.750 0.500 0.000
Hg 0.500 0.000 0.250
Hg 0.000 0.750 0.500
! raw total energy: -58.6685 eV per atom
! energy of formation from the pure elements: 0.0596 eV per atom
! distance to the lowest polymorph of the same formula: 48 meV/atom